VASP calculation (PBE) on an optimized crystal structure of Sc2NbIn.

Output
**E_tot**: -6.4992 eV/atom
**DOS(E_F)**: 4.2 states/eV/f.u.
**Magnetization**: 0.00 μB per atom
**Symmetry**: P4/mmm (123)
**ΔH_f (0 K)**: -131 meV per atom

a = 4.300 Å, b = 4.424 Å, c = 4.424 Å
α = 90.00°, β = 90.00°, γ = 90.00°
Fractional positions:
Sc: 0.000 0.000 0.500
Sc: 0.000 0.500 0.000
Nb: 0.500 0.000 0.000
In: 0.500 0.500 0.500

VASP calculation (PBE) on an optimized crystal structure of ScNb2In.

Output
**E_tot**: -6.7619 eV/atom
**DOS(E_F)**: 3.8 states/eV/f.u.
**Magnetization**: 0.00 μB per atom
**Symmetry**: I-42d (122)
**ΔH_f (0 K)**: 540 meV per atom

a = 7.785 Å, b = 7.785 Å, c = 6.189 Å
α = 51.03°, β = 51.03°, γ = 90.00°
Fractional positions:
Sc: 0.500 0.500 0.000
Sc: 0.250 0.750 0.500
Nb: 0.635 0.125 0.250
Nb: 0.115 0.625 0.250
Nb: 0.375 0.365 0.750
Nb: 0.875 0.885 0.750
In: 0.000 0.000 0.000
In: 0.750 0.250 0.500

VASP calculation (PBE) on an optimized crystal structure of ScNbIn2.

Output
**E_tot**: -5.4962 eV/atom
**Offset from the most stable computed form**: 115 meV per atom
**DOS(E_F)**: 3.7 states/eV/f.u.
**Magnetization**: 0.41 μB per atom
**Symmetry**: Fm-3m (225)
**ΔH_f (0 K)**: -27 meV per atom

a = 4.926 Å, b = 4.926 Å, c = 4.926 Å
α = 60.00°, β = 60.00°, γ = 60.00°
Fractional positions:
Sc: 0.000 0.000 0.000
Nb: 0.500 0.500 0.500
In: 0.250 0.250 0.250
In: 0.750 0.750 0.750

VASP calculation (PBE) on an optimized crystal structure of Sc3NbIn.

Output
**E_tot**: -5.8484 eV/atom
**Offset from the most stable computed form**: 0 meV per atom
**DOS(E_F)**: 5.8 states/eV/f.u.
**Magnetization**: 0.00 μB per atom
**Symmetry**: Pm-3m (221)
**ΔH_f (0 K)**: 512 meV per atom

a = 5.095 Å, b = 5.095 Å, c = 5.095 Å
α = 90.00°, β = 90.00°, γ = 90.00°
Fractional positions:
Sc: 0.000 0.500 0.000
Sc: 0.000 0.000 0.500
Sc: 0.500 0.000 0.000
Nb: 0.000 0.000 0.000
In: 0.500 0.500 0.500

VASP calculation (PBE) on an optimized crystal structure of Sc2NbIn.

Output
**E_tot**: -6.0326 eV/atom
**DOS(E_F)**: 3.8 states/eV/f.u.
**Magnetization**: 0.00 μB per atom
**Symmetry**: I-42d (122)
**ΔH_f (0 K)**: 335 meV per atom

a = 4.178 Å, b = 4.178 Å, c = 10.728 Å
α = 78.77°, β = 78.77°, γ = 90.00°
Fractional positions:
Sc: 0.616 0.125 0.250
Sc: 0.134 0.625 0.250
Sc: 0.375 0.384 0.750
Sc: 0.875 0.866 0.750
Nb: 0.500 0.500 0.000
Nb: 0.250 0.750 0.500
In: 0.000 0.000 0.000
In: 0.750 0.250 0.500

VASP calculation (PBE) on an optimized crystal structure of ScNbIn3.

Output
**E_tot**: -4.3758 eV/atom
**Offset from the most stable computed form**: 0 meV per atom
**DOS(E_F)**: 4.0 states/eV/f.u.
**Magnetization**: 0.00 μB per atom
**Symmetry**: Pm-3m (221)
**ΔH_f (0 K)**: 548 meV per atom

a = 5.290 Å, b = 5.290 Å, c = 5.290 Å
α = 90.00°, β = 90.00°, γ = 90.00°
Fractional positions:
Sc: 0.500 0.500 0.500
Nb: 0.000 0.000 0.000
In: 0.000 0.500 0.000
In: 0.000 0.000 0.500
In: 0.500 0.000 0.000

VASP calculation (PBE) on an optimized crystal structure of Sc2NbIn.

Output
**E_tot**: -6.5268 eV/atom
**DOS(E_F)**: 4.0 states/eV/f.u.
**Magnetization**: 0.00 μB per atom
**Symmetry**: P4/mmm (123)
**ΔH_f (0 K)**: -159 meV per atom

a = 3.068 Å, b = 3.068 Å, c = 9.104 Å
α = 90.00°, β = 90.00°, γ = 90.00°
Fractional positions:
Sc: 0.000 0.000 0.741
Sc: 0.000 0.000 0.259
Nb: 0.500 0.500 0.500
In: 0.500 0.500 0.000

VASP calculation (PBE) on an optimized crystal structure of ScNbIn2.

Output
**E_tot**: -5.6110 eV/atom
**Offset from the most stable computed form**: 0 meV per atom
**DOS(E_F)**: 2.8 states/eV/f.u.
**Magnetization**: 0.00 μB per atom
**Symmetry**: P4/mmm (123)
**ΔH_f (0 K)**: -141 meV per atom

a = 4.377 Å, b = 4.353 Å, c = 4.353 Å
α = 90.00°, β = 90.00°, γ = 90.00°
Fractional positions:
Sc: 0.500 0.000 0.000
Nb: 0.500 0.500 0.500
In: 0.000 0.000 0.500
In: 0.000 0.500 0.000